1.
{
  "formula": "Zr2Be2Al",
  "functional": "GGA-PBE",
  "state": "relaxed",
  "e_tot_ha_per_atom": -0.2203,
  "n_ef_per_ev_atom": 0.68,
  "spacegroup": "No. 127",
  "total_magnetization_mub_per_cell": 0.0,
  "e_above_lowest_polymorph_kj_per_mol_atoms": 0.0,
  "cell": [[6.394, 0.000, 0.000], [0.000, 6.394, 0.000], [0.000, 0.000, 3.885]],
  "species": ["Zr", "Zr", "Zr", "Zr", "Be", "Be", "Be", "Be", "Al", "Al"],
  "frac_coords": [[0.171, 0.329, 0.000], [0.329, 0.829, 0.000], [0.671, 0.171, 0.000], [0.829, 0.671, 0.000], [0.121, 0.621, 0.500], [0.379, 0.121, 0.500], [0.621, 0.879, 0.500], [0.879, 0.379, 0.500], [0.000, 0.000, 0.500], [0.500, 0.500, 0.500]]
}

---

2.
{
  "formula": "ZrBe2Al",
  "functional": "GGA-PBE",
  "state": "relaxed",
  "e_tot_ha_per_atom": -0.1767,
  "n_ef_per_ev_atom": 0.60,
  "spacegroup": "No. 119",
  "total_magnetization_mub_per_cell": 0.0,
  "cell": [[3.864, 0.000, 0.000], [0.000, 3.864, 0.000], [0.000, 0.000, 7.847]],
  "species": ["Zr", "Zr", "Be", "Be", "Be", "Be", "Al", "Al"],
  "frac_coords": [[0.000, 0.000, 0.000], [0.500, 0.500, 0.500], [0.000, 0.000, 0.500], [0.000, 0.500, 0.250], [0.500, 0.000, 0.750], [0.500, 0.500, 0.000], [0.000, 0.500, 0.750], [0.500, 0.000, 0.250]]
}

---

3.
{
  "formula": "ZrBe2Al",
  "functional": "GGA-PBE",
  "state": "relaxed",
  "e_tot_ha_per_atom": -0.1882,
  "n_ef_per_ev_atom": 0.47,
  "spacegroup": "No. 123",
  "total_magnetization_mub_per_cell": 0.0,
  "cell": [[3.938, 0.000, 0.000], [0.000, 3.938, 0.000], [0.000, 0.000, 3.658]],
  "species": ["Zr", "Be", "Be", "Al"],
  "frac_coords": [[0.000, 0.000, 0.000], [0.000, 0.500, 0.500], [0.500, 0.000, 0.500], [0.500, 0.500, 0.000]]
}

---

Repeat the second record exactly.
{
  "formula": "ZrBe2Al",
  "functional": "GGA-PBE",
  "state": "relaxed",
  "e_tot_ha_per_atom": -0.1767,
  "n_ef_per_ev_atom": 0.60,
  "spacegroup": "No. 119",
  "total_magnetization_mub_per_cell": 0.0,
  "cell": [[3.864, 0.000, 0.000], [0.000, 3.864, 0.000], [0.000, 0.000, 7.847]],
  "species": ["Zr", "Zr", "Be", "Be", "Be", "Be", "Al", "Al"],
  "frac_coords": [[0.000, 0.000, 0.000], [0.500, 0.500, 0.500], [0.000, 0.000, 0.500], [0.000, 0.500, 0.250], [0.500, 0.000, 0.750], [0.500, 0.500, 0.000], [0.000, 0.500, 0.750], [0.500, 0.000, 0.250]]
}